Entry 1:
# NdMgZn4

A geometry-optimized NdMgZn4 structure (PBE, Alexandria).

Output
Crystal system ... hexagonal
Magnetic moment ... 0.000 μB/atom
Energy of formation from the pure elements ... -29 kJ/mol of atoms
Calculated volume ... 19.62 Å³/atom
ρ ... 6.067 Mg/m³
Electronic total energy ... -2.21 eV/atom

Cell lengths 4.371, 4.371, 7.118 Å; angles 90.00, 90.00, 120.00 degrees
Sites, in units of the cell vectors:
Zn 0.667 0.333 0.213
Zn 0.333 0.667 0.787
Zn 0.667 0.333 0.787
Zn 0.333 0.667 0.213
Mg 0.000 0.000 0.000
Nd 0.000 0.000 0.500



Entry 2:
# Ca2PrPt

A geometry-optimized Ca2PrPt structure (PBE, Alexandria).

Output
Crystal system ... orthorhombic
Magnetic moment ... 0.000 μB/atom
Energy of formation from the pure elements ... -56 kJ/mol of atoms
Calculated volume ... 31.19 Å³/atom
ρ ... 5.539 Mg/m³
Electronic total energy ... -4.29 eV/atom

Cell lengths 4.036, 6.690, 9.694 Å; angles 90.00, 90.00, 107.58 degrees
Sites, in units of the cell vectors:
Pr 0.078 0.157 0.750
Pr 0.922 0.843 0.250
Ca 0.646 0.293 0.433
Ca 0.354 0.707 0.567
Ca 0.646 0.293 0.067
Ca 0.354 0.707 0.933
Pt 0.740 0.479 0.750
Pt 0.260 0.521 0.250



Entry 3:
# PuInNi2

A geometry-optimized PuInNi2 structure (PBE, Alexandria).

Output
Crystal system ... orthorhombic
Magnetic moment ... 1.271 μB/atom
Energy of formation from the pure elements ... -21 kJ/mol of atoms
Calculated volume ... 18.18 Å³/atom
ρ ... 10.873 Mg/m³
Electronic total energy ... -7.38 eV/atom

Cell lengths 4.007, 5.157, 7.039 Å; angles 90.00, 90.00, 90.00 degrees
Each line ends with the local moment (μB).
Sites, in units of the cell vectors:
In 0.500 0.250 0.359  0.00
In 0.500 0.750 0.641  0.00
Ni 0.500 0.500 0.000  -0.18
Ni 0.000 0.750 0.885  -0.19
Ni 0.000 0.250 0.115  -0.19
Ni 0.500 0.000 0.000  -0.18
Pu 0.000 0.250 0.734  5.15
Pu 0.000 0.750 0.266  5.15



Entry 4:
# TlP

A geometry-optimized TlP structure (PBE, Alexandria).

Output
Crystal system ... trigonal
Magnetic moment ... 0.000 μB/atom
Energy of formation from the pure elements ... 6 kJ/mol of atoms
Calculated volume ... 24.04 Å³/atom
ρ ... 8.130 Mg/m³
Electronic total energy ... -3.82 eV/atom

Cell lengths 3.404, 3.404, 9.778 Å; angles 79.97, 79.97, 60.00 degrees
Sites, in units of the cell vectors:
Tl 0.115 0.115 0.655
Tl 0.885 0.885 0.345
P 0.312 0.312 0.063
P 0.688 0.688 0.937



Entry 5:
# Ga2CoH

A geometry-optimized Ga2CoH structure (PBE, Alexandria).

Output
Crystal system ... tetragonal
Magnetic moment ... 0.000 μB/atom
Calculated volume ... 11.73 Å³/atom
ρ ... 7.058 Mg/m³
Electronic total energy ... -3.90 eV/atom

Cell lengths 5.711, 5.711, 4.958 Å; angles 54.84, 54.84, 90.00 degrees
Sites, in units of the cell vectors:
Ga 0.375 0.440 0.750
Ga 0.560 0.125 0.250
Ga 0.875 0.810 0.750
Ga 0.190 0.625 0.250
Co 0.750 0.250 0.500
Co 0.000 0.000 0.000
H 0.250 0.750 0.500
H 0.500 0.500 0.000



Entry 6:
# La8ErTm2

A geometry-optimized La8ErTm2 structure (PBE, Alexandria).

Output
Crystal system ... monoclinic
Magnetic moment ... 0.000 μB/atom
Energy of formation from the pure elements ... 12 kJ/mol of atoms
Calculated volume ... 35.47 Å³/atom
ρ ... 6.879 Mg/m³
Electronic total energy ... -4.68 eV/atom

Cell lengths 6.052, 9.573, 9.573 Å; angles 122.31, 105.51, 105.51 degrees
Sites, in units of the cell vectors:
Tm 0.000 0.311 0.689
Tm 0.000 0.689 0.311
La 0.702 0.420 0.420
La 0.183 0.095 0.334
La 0.817 0.905 0.666
La 0.298 0.580 0.580
La 0.500 0.794 0.206
La 0.500 0.206 0.794
La 0.817 0.666 0.905
La 0.183 0.334 0.095
Er 0.500 0.000 0.000



Entry 7:
# Hf2TaTe

A geometry-optimized Hf2TaTe structure (PBE, Alexandria).

Output
Crystal system ... tetragonal
Formation energy from raw total energies ... 0.431 eV per atom
Magnetic moment ... 0.000 μB/atom
Calculated volume ... 22.67 Å³/atom
ρ ... 12.185 Mg/m³
Electronic total energy ... -8.29 eV/atom

Cell lengths 4.232, 4.232, 10.560 Å; angles 78.44, 78.44, 90.00 degrees
Sites, in units of the cell vectors:
Te 0.250 0.750 0.500
Te 0.500 0.500 0.000
Hf 0.875 0.875 0.750
Hf 0.125 0.625 0.250
Hf 0.375 0.375 0.750
Hf 0.625 0.125 0.250
Ta 0.750 0.250 0.500
Ta 0.000 0.000 0.000



Entry 8:
# DyAl2CuAu4

A geometry-optimized DyAl2CuAu4 structure (PBE, Alexandria).

Output
Crystal system ... trigonal
Magnetic moment ... 0.000 μB/atom
Energy of formation from the pure elements ... -47 kJ/mol of atoms
Calculated volume ... 18.29 Å³/atom
ρ ... 12.119 Mg/m³
Electronic total energy ... -4.15 eV/atom

Cell lengths 4.439, 4.439, 8.950 Å; angles 75.64, 75.64, 60.00 degrees
Sites, in units of the cell vectors:
Cu 0.500 0.500 0.500
Au 0.131 0.131 0.606
Au 0.869 0.869 0.394
Au 0.396 0.396 0.813
Au 0.604 0.604 0.187
Al 0.760 0.760 0.720
Al 0.240 0.240 0.280
Dy 0.000 0.000 0.000



Entry 9:
# MnRe2Ru

A geometry-optimized MnRe2Ru structure (PBE, Alexandria).

Output
Crystal system ... orthorhombic
Magnetic moment ... 0.301 μB/atom
Energy of formation from the pure elements ... 5 kJ/mol of atoms
Calculated volume ... 13.93 Å³/atom
ρ ... 15.750 Mg/m³
Electronic total energy ... -10.79 eV/atom

Cell lengths 4.673, 4.673, 2.707 Å; angles 89.99, 89.99, 109.54 degrees
Each line ends with the local moment (μB).
Sites, in units of the cell vectors:
Ru 0.500 0.000 0.500  -0.03
Re 0.000 0.000 0.000  -0.21
Re 0.500 0.500 0.000  -0.21
Mn 0.000 0.500 0.500  1.63



Entry 10:
# BeW2Se

A geometry-optimized BeW2Se structure (PBE, Alexandria).

Output
Crystal system ... monoclinic
Formation energy from raw total energies ... 0.405 eV per atom
Magnetic moment ... 0.000 μB/atom
Calculated volume ... 14.35 Å³/atom
ρ ... 13.183 Mg/m³
Electronic total energy ... -7.87 eV/atom

Cell lengths 4.640, 4.640, 4.457 Å; angles 75.12, 75.12, 38.44 degrees
Sites, in units of the cell vectors:
Be 0.501 0.501 0.550
W 0.766 0.766 0.687
W 0.992 0.992 0.028
Se 0.241 0.241 0.236